VASP calculation (PBE) on a relaxed CdB3Ir crystal.

Cell lengths 4.174, 4.174, 4.174 Å; angles 90.00, 90.00, 90.00 degrees
Atoms (fractional coordinates):
Cd1 0.000 0.000 0.000
B1 0.000 0.000 0.500
B2 0.000 0.500 0.000
B3 0.500 0.000 0.000
Ir1 0.500 0.500 0.500

Energy of formation from the pure elements = 2.69 eV/atom
Magnetic moment = 0.00 μB/f.u.
E = -3.268 eV per atom
Offset from the most stable computed form = 1.784 eV/atom


VASP calculation (PBE) on a relaxed CdBIr crystal.

Cell lengths 2.952, 2.952, 9.852 Å; angles 90.02, 90.02, 89.87 degrees
Atoms (fractional coordinates):
Cd1 0.250 0.250 0.130
Cd2 0.750 0.750 0.870
B1 0.250 0.750 0.500
B2 0.750 0.250 0.500
Ir1 0.251 0.251 0.657
Ir2 0.749 0.749 0.343

Energy of formation from the pure elements = -0.15 eV/atom
Magnetic moment = 0.00 μB/f.u.
E = -5.635 eV per atom


VASP calculation (PBE) on a relaxed CdB5Ir6 crystal.

Cell lengths 3.460, 6.156, 7.745 Å; angles 76.86, 82.94, 84.63 degrees
Atoms (fractional coordinates):
Cd1 0.000 0.000 0.000
B1 0.000 0.000 0.500
B2 0.053 0.343 0.719
B3 0.459 0.742 0.846
B4 0.541 0.258 0.154
B5 0.947 0.657 0.281
Ir1 0.005 0.698 0.698
Ir2 0.429 0.071 0.655
Ir3 0.483 0.626 0.131
Ir4 0.517 0.374 0.869
Ir5 0.571 0.929 0.345
Ir6 0.995 0.302 0.302

Energy of formation from the pure elements = -0.01 eV/atom
Magnetic moment = 0.00 μB/f.u.
E = -7.304 eV per atom


VASP calculation (PBE) on a relaxed LiCdBIr2 crystal.

Cell lengths 4.100, 4.100, 4.248 Å; angles 90.00, 90.00, 90.00 degrees
Atoms (fractional coordinates):
Li1 0.000 0.000 0.000
Cd1 0.500 0.500 0.000
B1 0.000 0.000 0.500
Ir1 0.000 0.500 0.500
Ir2 0.500 0.000 0.500

Energy of formation from the pure elements = -0.20 eV/atom
Magnetic moment = 0.00 μB/f.u.
E = -5.649 eV per atom